# NaAsRu2Se | Alexandria | PBE | optimized geometry
# - formation energy without anion corrections (eV per atom) = 0.741
data_NaAsRu2Se
_chemical_formula_sum 'Na1 As1 Ru2 Se1'
_symmetry_space_group_name_H-M 'P 4/m m m'
_symmetry_Int_Tables_number 123
_symmetry_space_group_name_Hall '-P 4 2'
_cell_length_a 4.560
_cell_length_b 4.560
_cell_length_c 4.996
_cell_angle_alpha 90.00
_cell_angle_beta 90.00
_cell_angle_gamma 90.00
loop_
_atom_site_label
_atom_site_type_symbol
_atom_site_fract_x
_atom_site_fract_y
_atom_site_fract_z
Na1 Na 0.000 0.000 0.000
As1 As 0.500 0.500 0.000
Ru1 Ru 0.000 0.500 0.500
Se1 Se 0.000 0.000 0.500